Li2CaSb2 after structural relaxation, computed with PBE.

Summary:
- Formation energy (no corrections): -0.660 eV/atom
- Total magnetic moment: 0.0 Bohr magnetons per cell
- E: -3.48 eV/atom

a = 4.500 Å, b = 4.500 Å, c = 6.809 Å
α = 70.70°, β = 70.70°, γ = 90.00°
Sites, in units of the cell vectors:
Sb1 0.381 0.381 0.238
Sb2 0.619 0.619 0.762
Ca1 0.000 0.000 0.000
Li1 0.750 0.250 0.500
Li2 0.250 0.750 0.500

Sr4NiAu after structural relaxation, computed with PBE.

Summary:
- Total magnetic moment: 0.0 Bohr magnetons per cell
- Energy relative to the elements: -0.242 eV/atom
- E: -2.87 eV/atom

a = 7.319 Å, b = 8.079 Å, c = 8.892 Å
α = 113.28°, β = 110.26°, γ = 98.26°
Sites, in units of the cell vectors:
Sr1 0.215 0.821 0.858
Sr2 0.643 0.537 0.858
Sr3 0.991 0.749 0.377
Sr4 0.009 0.251 0.623
Sr5 0.614 0.873 0.623
Sr6 0.357 0.463 0.142
Sr7 0.386 0.127 0.377
Sr8 0.785 0.179 0.142
Ni1 0.382 0.132 0.764
Ni2 0.618 0.868 0.236
Au1 0.246 0.496 0.492
Au2 0.754 0.504 0.508